Rb2NaGaF6, optimized geometry, DFT PBEsol; DOS at the Fermi energy = 0.0000 states/eV per atom; formation energy (no corrections) = -2.848 eV/atom; volume = 14.75 A^3/atom
1.0
0.000 4.194 4.194
4.194 0.000 4.194
4.194 4.194 0.000
Rb Na Ga F
2 1 1 6
direct
0.250 0.250 0.250 Rb
0.750 0.750 0.750 Rb
0.000 0.000 0.000 Na
0.500 0.500 0.500 Ga
0.272 0.272 0.728 F
0.272 0.728 0.272 F
0.272 0.728 0.728 F
0.728 0.272 0.272 F
0.728 0.272 0.728 F
0.728 0.728 0.272 F

NaTl2GaF6, optimized geometry, DFT PBEsol; DOS at the Fermi energy = 0.0000 states/eV per atom; formation energy (no corrections) = -2.381 eV/atom; volume = 14.76 A^3/atom
1.0
0.000 4.194 4.194
4.194 0.000 4.194
4.194 4.194 0.000
Na Tl Ga F
1 2 1 6
direct
0.000 0.000 0.000 Na
0.250 0.250 0.250 Tl
0.750 0.750 0.750 Tl
0.500 0.500 0.500 Ga
0.272 0.272 0.728 F
0.272 0.728 0.272 F
0.272 0.728 0.728 F
0.728 0.272 0.272 F
0.728 0.272 0.728 F
0.728 0.728 0.272 F

Nb2GaNiF, optimized geometry, DFT PBEsol; DOS at the Fermi energy = 0.8718 states/eV per atom; formation energy (no corrections) = 0.090 eV/atom; volume = 15.03 A^3/atom
1.0
4.112 0.000 0.000
0.000 4.112 0.000
0.000 0.000 4.445
Nb Ga Ni F
2 1 1 1
direct
0.000 0.500 0.000 Nb
0.500 0.000 0.000 Nb
0.000 0.000 0.500 Ga
0.500 0.500 0.500 Ni
0.000 0.000 0.000 F

GaP2OF, optimized geometry, DFT PBEsol; DOS at the Fermi energy = 0.5196 states/eV per atom; formation energy (no corrections) = 0.326 eV/atom; volume = 16.03 A^3/atom
1.0
4.707 0.000 0.000
0.000 4.707 0.000
0.000 0.000 3.617
Ga P O F
1 2 1 1
direct
0.000 0.000 0.000 Ga
0.000 0.500 0.000 P
0.500 0.000 0.000 P
0.000 0.000 0.500 O
0.500 0.500 0.500 F